1.
This record from Alexandria via LeMat-Bulk describes a geometry-optimized DyLuMn structure. The functional is GGA-PBE.

Lattice parameters (Å, degrees): 3.435 3.435 12.493 90.00 90.00 90.00
Space group I4mm (No. 107)
Unique sites:
Dy1 0.000 0.000 0.000 [2 per cell]
Lu1 0.000 0.000 0.274 [2 per cell]
Mn1 0.000 0.000 0.640 [2 per cell]

For the energy of formation, the calculation gives 0.124 eV/atom. For the density of states at the Fermi level, the calculation gives 1.360 states/eV per atom. The magnetization is 5.3 μB per cell.


2.
This record from Alexandria via LeMat-Bulk describes a geometry-optimized RbAs2Pt structure. The functional is GGA-PBE.

Lattice parameters (Å, degrees): 7.728 7.728 7.819 90.00 90.00 90.00
Space group I-42d (No. 122)
Unique sites:
Rb1 0.000 0.000 0.000 [4 per cell]
As1 0.140 0.750 0.625 [8 per cell]
Pt1 0.000 0.000 0.500 [4 per cell]

The value obtained for the relative energy among the computed polymorphs is 0.2405 eV/atom. For the energy of formation, the calculation gives -0.187 eV/atom. For the density of states at the Fermi level, the calculation gives 0.825 states/eV per atom. The magnetization is 0.0 μB per cell.


3.
This record from Alexandria via LeMat-Bulk describes a geometry-optimized BaAs2 structure. The functional is GGA-PBE.

Lattice parameters (Å, degrees): 5.5011 5.5011 6.5651 90.00 90.00 120.00
Space group P6_3/mmc (No. 194)
Unique sites:
Ba1 0.3333 0.6667 0.2500 [2 per cell]
As1 0.0000 0.0000 0.0000 [2 per cell]
As2 0.3333 0.6667 0.7500 [2 per cell]

For the energy of formation, the calculation gives -0.259 eV/atom. For the density of states at the Fermi level, the calculation gives 0.854 states/eV per atom. The magnetization is 0.0 μB per cell.


4.
This record from Alexandria via LeMat-Bulk describes a geometry-optimized TmGaAg structure. The functional is GGA-PBE.

Lattice parameters (Å, degrees): 3.392 3.392 10.757 90.00 90.00 90.00
Space group I4mm (No. 107)
Unique sites:
Tm1 0.000 0.000 0.000 [2 per cell]
Ga1 0.000 0.000 0.676 [2 per cell]
Ag1 0.000 0.000 0.314 [2 per cell]

For the energy of formation, the calculation gives -0.283 eV/atom. For the density of states at the Fermi level, the calculation gives 0.875 states/eV per atom. The magnetization is 0.0 μB per cell.


5.
This record from Alexandria via LeMat-Bulk describes a geometry-optimized Tb3CeBi4 structure. The functional is GGA-PBE.

Lattice parameters (Å, degrees): 9.039 12.780 4.524 90.00 90.00 90.00
Space group Cmmm (No. 65)
Unique sites:
Tb1 0.000 0.000 0.000 [2 per cell]
Tb2 0.250 0.250 0.500 [4 per cell]
Ce1 0.000 0.500 0.000 [2 per cell]
Bi1 0.000 0.248 0.000 [4 per cell]
Bi2 0.246 0.000 0.500 [4 per cell]

The value obtained for the relative energy among the computed polymorphs is 0.0000 eV/atom. For the energy of formation, the calculation gives -0.858 eV/atom. For the density of states at the Fermi level, the calculation gives 0.888 states/eV per atom. The magnetization is 1.6 μB per cell.


6.
This record from Alexandria via LeMat-Bulk describes a geometry-optimized As3AuCl structure. The functional is GGA-PBE.

Lattice parameters (Å, degrees): 4.856 4.856 4.856 90.00 90.00 90.00
Space group Pm-3m (No. 221)
Unique sites:
As1 0.000 0.000 0.500 [3 per cell]
Au1 0.500 0.500 0.500 [1 per cell]
Cl1 0.000 0.000 0.000 [1 per cell]

The value obtained for the relative energy among the computed polymorphs is 0.3273 eV/atom. For the density of states at the Fermi level, the calculation gives 1.073 states/eV per atom. The magnetization is 0.0 μB per cell. The value obtained for the uncorrected formation energy is 1.200 eV/atom.


7.
This record from Alexandria via LeMat-Bulk describes a geometry-optimized ZrSc2AlHg structure. The functional is GGA-PBE.

Lattice parameters (Å, degrees): 5.101 5.101 5.246 90.00 90.00 90.00
Space group P4/mmm (No. 123)
Unique sites:
Zr1 0.000 0.000 0.000 [1 per cell]
Sc1 0.000 0.500 0.000 [2 per cell]
Al1 0.000 0.000 0.500 [1 per cell]
Hg1 0.500 0.500 0.500 [1 per cell]

For the energy of formation, the calculation gives 0.713 eV/atom. For the density of states at the Fermi level, the calculation gives 0.903 states/eV per atom. The magnetization is 0.0 μB per cell.


8.
This record from Alexandria via LeMat-Bulk describes a geometry-optimized DyYScOs structure. The functional is GGA-PBE.

Lattice parameters (Å, degrees): 7.116 7.116 7.116 90.00 90.00 90.00
Space group F-43m (No. 216)
Unique sites:
Dy1 0.000 0.000 0.000 [4 per cell]
Y1 0.000 0.000 0.500 [4 per cell]
Sc1 0.250 0.250 0.250 [4 per cell]
Os1 0.250 0.250 0.750 [4 per cell]

For the energy of formation, the calculation gives 0.020 eV/atom. For the density of states at the Fermi level, the calculation gives 0.921 states/eV per atom. The magnetization is 0.0 μB per cell.


9.
This record from Alexandria via LeMat-Bulk describes a geometry-optimized Se4S2Br structure. The functional is GGA-PBE.

Lattice parameters (Å, degrees): 5.359 5.359 15.267 90.00 90.00 90.00
Space group I4/mmm (No. 139)
Unique sites:
Se1 0.000 0.000 0.229 [4 per cell]
Se2 0.000 0.500 0.000 [4 per cell]
S1 0.000 0.000 0.093 [4 per cell]
Br1 0.000 0.000 0.500 [2 per cell]

For the density of states at the Fermi level, the calculation gives 0.706 states/eV per atom. The magnetization is 0.0 μB per cell. The value obtained for the uncorrected formation energy is 0.457 eV/atom.


10.
This record from Alexandria via LeMat-Bulk describes a geometry-optimized ZrMo2Ru structure. The functional is GGA-PBE.

Lattice parameters (Å, degrees): 4.552 4.552 3.204 90.00 90.00 90.00
Space group P4/mmm (No. 123)
Unique sites:
Zr1 0.000 0.000 0.000 [1 per cell]
Mo1 0.000 0.500 0.500 [2 per cell]
Ru1 0.500 0.500 0.000 [1 per cell]

The value obtained for the relative energy among the computed polymorphs is 0.2250 eV/atom. For the energy of formation, the calculation gives 0.090 eV/atom. For the density of states at the Fermi level, the calculation gives 0.956 states/eV per atom. The magnetization is 0.0 μB per cell.


11.
This record from Alexandria via LeMat-Bulk describes a geometry-optimized CaTl4Br structure. The functional is GGA-PBE.

Lattice parameters (Å, degrees): 9.156 9.156 9.156 90.00 90.00 90.00
Space group F-43m (No. 216)
Unique sites:
Ca1 0.000 0.000 0.000 [4 per cell]
Tl1 0.125 0.125 0.625 [16 per cell]
Br1 0.250 0.250 0.250 [4 per cell]

For the density of states at the Fermi level, the calculation gives 0.597 states/eV per atom. The magnetization is 0.0 μB per cell. The value obtained for the uncorrected formation energy is -0.182 eV/atom.


12.
This record from Alexandria via LeMat-Bulk describes a geometry-optimized HfNbFeCuW structure. The functional is GGA-PBE.

Lattice parameters (Å, degrees): 12.565 4.387 2.927 90.00 102.33 90.00
Space group Cm (No. 8)
Unique sites:
Hf1 0.000 0.000 0.000 [2 per cell]
Nb1 0.260 0.500 0.157 [2 per cell]
Fe1 0.188 0.000 0.706 [2 per cell]
Cu1 0.072 0.500 0.521 [2 per cell]
W1 0.367 0.000 0.543 [2 per cell]

The value obtained for the relative energy among the computed polymorphs is 0.0109 eV/atom. For the energy of formation, the calculation gives 0.089 eV/atom. For the density of states at the Fermi level, the calculation gives 0.964 states/eV per atom. The magnetization is 0.0 μB per cell.


13.
This record from Alexandria via LeMat-Bulk describes a geometry-optimized VIn3Pb structure. The functional is GGA-PBE.

Lattice parameters (Å, degrees): 5.756 5.756 5.756 90.00 90.00 90.00
Space group Pm-3m (No. 221)
Unique sites:
V1 0.000 0.000 0.000 [1 per cell]
In1 0.000 0.500 0.500 [3 per cell]
Pb1 0.500 0.500 0.500 [1 per cell]

The value obtained for the relative energy among the computed polymorphs is 0.6725 eV/atom. For the energy of formation, the calculation gives 1.116 eV/atom. For the density of states at the Fermi level, the calculation gives 1.933 states/eV per atom. The magnetization is 4.1 μB per cell.


14.
This record from Alexandria via LeMat-Bulk describes a geometry-optimized ScInCu2 structure. The functional is GGA-PBE.

Lattice parameters (Å, degrees): 3.342 3.367 6.169 90.00 90.00 90.00
Space group Pmmm (No. 47)
Unique sites:
Sc1 0.000 0.000 0.000 [1 per cell]
In1 0.000 0.000 0.500 [1 per cell]
Cu1 0.500 0.500 0.233 [2 per cell]

For the energy of formation, the calculation gives -0.170 eV/atom. For the density of states at the Fermi level, the calculation gives 0.285 states/eV per atom. The magnetization is 0.0 μB per cell.


15.
This record from Alexandria via LeMat-Bulk describes a geometry-optimized Mg2MnTc structure. The functional is GGA-PBE.

Lattice parameters (Å, degrees): 6.400 6.400 6.400 90.00 90.00 90.00
Space group Fm-3m (No. 225)
Unique sites:
Mg1 0.250 0.250 0.250 [8 per cell]
Mn1 0.000 0.000 0.000 [4 per cell]
Tc1 0.000 0.000 0.500 [4 per cell]

The value obtained for the relative energy among the computed polymorphs is 0.3091 eV/atom. For the energy of formation, the calculation gives 0.382 eV/atom. For the density of states at the Fermi level, the calculation gives 1.285 states/eV per atom. The magnetization is 18.8 μB per cell.


16.
This record from Alexandria via LeMat-Bulk describes a geometry-optimized SrHgAs2Ru structure. The functional is GGA-PBE.

Lattice parameters (Å, degrees): 5.194 5.194 5.759 90.00 90.00 90.00
Space group P4/mmm (No. 123)
Unique sites:
Sr1 0.000 0.000 0.000 [1 per cell]
Hg1 0.000 0.000 0.500 [1 per cell]
As1 0.000 0.500 0.500 [2 per cell]
Ru1 0.500 0.500 0.000 [1 per cell]

For the energy of formation, the calculation gives 1.157 eV/atom. For the density of states at the Fermi level, the calculation gives 0.846 states/eV per atom. The magnetization is 2.4 μB per cell.


17.
This record from Alexandria via LeMat-Bulk describes a geometry-optimized Li7Tb3Si4 structure. The functional is GGA-PBE.

Lattice parameters (Å, degrees): 15.758 4.300 10.210 90.00 129.64 90.00
Space group C2/m (No. 12)
Unique sites:
Li1 0.000 0.000 0.000 [2 per cell]
Li2 0.019 0.500 0.796 [4 per cell]
Li3 0.165 0.500 0.502 [4 per cell]
Li4 0.168 0.000 0.915 [4 per cell]
Tb1 0.000 0.000 0.500 [2 per cell]
Tb2 0.206 0.500 0.252 [4 per cell]
Si1 0.110 0.000 0.333 [4 per cell]
Si2 0.164 0.500 0.750 [4 per cell]

For the density of states at the Fermi level, the calculation gives 0.304 states/eV per atom. The magnetization is 0.0 μB per cell. The value obtained for the uncorrected formation energy is -0.389 eV/atom.


18.
This record from Alexandria via LeMat-Bulk describes a geometry-optimized Zr6TlO structure. The functional is GGA-PBE.

Lattice parameters (Å, degrees): 8.6444 8.6444 7.6901 90.00 90.00 120.00
Space group R-3 (No. 148, hexagonal axes)
Unique sites:
Zr1 0.0719 0.2512 0.1602 [18 per cell]
Tl1 0.0000 0.0000 0.5000 [3 per cell]
O1 0.0000 0.0000 0.0000 [3 per cell]

For the density of states at the Fermi level, the calculation gives 0.943 states/eV per atom. The magnetization is 0.0 μB per cell. The value obtained for the uncorrected formation energy is -0.672 eV/atom.


19.
This record from Alexandria via LeMat-Bulk describes a geometry-optimized CrH5 structure. The functional is GGA-PBE.

Lattice parameters (Å, degrees): 2.658 9.138 2.648 90.00 90.00 90.00
Space group Cmmm (No. 65)
Unique sites:
Cr1 0.000 0.000 0.000 [2 per cell]
H1 0.000 0.127 0.500 [4 per cell]
H2 0.000 0.373 0.000 [4 per cell]
H3 0.000 0.500 0.500 [2 per cell]

For the density of states at the Fermi level, the calculation gives 0.235 states/eV per atom. For the raw total energy, the calculation gives -4.13 eV/atom. The magnetization is 1.9 μB per cell.


20.
This record from Alexandria via LeMat-Bulk describes a geometry-optimized Mg2TaTc structure. The functional is GGA-PBE.

Lattice parameters (Å, degrees): 3.382 4.300 9.549 90.00 90.00 90.00
Space group Immm (No. 71)
Unique sites:
Mg1 0.000 0.000 0.238 [4 per cell]
Ta1 0.000 0.500 0.000 [2 per cell]
Tc1 0.000 0.500 0.500 [2 per cell]

The value obtained for the relative energy among the computed polymorphs is 0.1245 eV/atom. For the energy of formation, the calculation gives 0.127 eV/atom. For the density of states at the Fermi level, the calculation gives 0.477 states/eV per atom. The magnetization is 0.0 μB per cell.